Here is a relaxed structure of ZrAlNiSe2 from the Alexandria database. Energies are from PBE.

Values from the calculation:
Raw formation energy, eV/f.u.: 0.98
Size of the total moment, μB per cell: 0.76
Calculated total energy, eV/atom: -4.813

Lattice parameters (Å, degrees): 5.1976 4.9088 5.1976 90.00 90.00 90.00
Site moments in Bohr magnetons follow the coordinates.
Atoms (fractional coordinates):
Se 0.0000 0.0000 0.5000  0.07
Se 0.5000 0.0000 0.0000  0.03
Al 0.5000 0.5000 0.5000  0.02
Ni 0.0000 0.5000 0.0000  0.46
Zr 0.0000 0.0000 0.0000  0.01